# 1
Computed, not measured: a relaxed structure of Li3In6Ir at the PBE level of DFT.

Computed properties:
Raw total energy (eV per atom): -3.2550
Spin magnetization (μB/f.u.): 0.00
Calculated density (g cm⁻³): 6.75
Formation energy (meV per atom): -152

a = 10.8761 Å, b = 10.8761 Å, c = 12.9935 Å
α = 90.00°, β = 90.00°, γ = 120.00°
Space group R-3 (No. 148, hexagonal axes)
Unique sites:
Li: 0.0099 0.4106 0.2415 (multiplicity 18)
In: 0.0345 0.2020 0.3633 (multiplicity 18)
In: 0.0385 0.8295 0.8743 (multiplicity 18)
Ir: 0.0000 0.0000 0.0000 (multiplicity 3)
Ir: 0.0000 0.0000 0.5000 (multiplicity 3)

***

# 2
Computed, not measured: a relaxed structure of Li3In4Ir2 at the PBE level of DFT.

Computed properties:
Raw total energy (eV per atom): -4.1413
Spin magnetization (μB/f.u.): 0.00
Calculated density (g cm⁻³): 9.14
Formation energy (meV per atom): -317

a = 4.5770 Å, b = 4.5770 Å, c = 8.6528 Å
α = 90.00°, β = 90.00°, γ = 120.00°
Space group P-3m1 (No. 164)
Unique sites:
Li: 0.0000 0.0000 0.0000 (multiplicity 1)
Li: 0.3333 0.6667 0.5422 (multiplicity 2)
In: 0.0000 0.0000 0.3274 (multiplicity 2)
In: 0.3333 0.6667 0.8870 (multiplicity 2)
Ir: 0.3333 0.6667 0.2124 (multiplicity 2)

***

# 3
Computed, not measured: a relaxed structure of LiInIr2 at the PBE level of DFT.

Computed properties:
Raw total energy (eV per atom): -5.5696
Spin magnetization (μB/f.u.): 0.00
Calculated density (g cm⁻³): 12.65
Formation energy (meV per atom): 24

a = 2.8282 Å, b = 2.8282 Å, c = 8.3051 Å
α = 90.00°, β = 90.00°, γ = 90.00°
Space group P4mm (No. 99)
Unique sites:
Li: 0.0000 0.0000 0.0000 (multiplicity 1)
In: 0.5000 0.5000 0.2949 (multiplicity 1)
Ir: 0.0000 0.0000 0.5568 (multiplicity 1)
Ir: 0.5000 0.5000 0.7685 (multiplicity 1)

***

# 4
Computed, not measured: a relaxed structure of LiInIr2 at the PBE level of DFT.

Computed properties:
Raw total energy (eV per atom): -5.5623
Spin magnetization (μB/f.u.): 0.00
Calculated density (g cm⁻³): 14.02
Formation energy (meV per atom): 31

a = 3.1512 Å, b = 3.1512 Å, c = 6.0357 Å
α = 90.00°, β = 90.00°, γ = 90.00°
Space group P4/mmm (No. 123)
Unique sites:
Li: 0.0000 0.0000 0.0000 (multiplicity 1)
In: 0.0000 0.0000 0.5000 (multiplicity 1)
Ir: 0.5000 0.5000 0.2215 (multiplicity 2)

***

# 5
Computed, not measured: a relaxed structure of LiInIr2 at the PBE level of DFT.

Computed properties:
Raw total energy (eV per atom): -5.5757
Spin magnetization (μB/f.u.): 0.00
Calculated density (g cm⁻³): 13.23
Formation energy (meV per atom): 18

a = 2.9812 Å, b = 4.5285 Å, c = 9.4098 Å
α = 90.00°, β = 90.00°, γ = 90.00°
Space group Imm2 (No. 44)
Unique sites:
Li: 0.0000 0.0000 0.0000 (multiplicity 2)
In: 0.0000 0.5000 0.7699 (multiplicity 2)
Ir: 0.0000 0.0000 0.5217 (multiplicity 2)
Ir: 0.0000 0.5000 0.2516 (multiplicity 2)

***

# 6
Computed, not measured: a relaxed structure of LiInIr2 at the PBE level of DFT.

Computed properties:
Raw total energy (eV per atom): -5.6315
Spin magnetization (μB/f.u.): 0.00
Calculated density (g cm⁻³): 13.59
Formation energy (meV per atom): -38

a = 3.9098 Å, b = 3.9098 Å, c = 4.0469 Å
α = 90.00°, β = 90.00°, γ = 90.00°
Space group P4/mmm (No. 123)
Unique sites:
Li: 0.0000 0.0000 0.0000 (multiplicity 1)
In: 0.5000 0.5000 0.0000 (multiplicity 1)
Ir: 0.0000 0.5000 0.5000 (multiplicity 2)

***

# 7
Computed, not measured: a relaxed structure of LiInIr4 at the PBE level of DFT.

Computed properties:
Raw total energy (eV per atom): -6.5984
Spin magnetization (μB/f.u.): 0.00
Calculated density (g cm⁻³): 14.69
Formation energy (meV per atom): 84

a = 7.3843 Å, b = 7.3843 Å, c = 7.3843 Å
α = 90.00°, β = 90.00°, γ = 90.00°
Space group F-43m (No. 216)
Unique sites:
Li: 0.0000 0.0000 0.0000 (multiplicity 4)
In: 0.2500 0.2500 0.7500 (multiplicity 4)
Ir: 0.1253 0.1253 0.3747 (multiplicity 16)

***

# 8
Computed, not measured: a relaxed structure of Li2In2Ir at the PBE level of DFT.

Computed properties:
Energy above the lowest structure with this stoichiometry (eV/f.u.): 0.000
Raw total energy (eV per atom): -3.8000
Spin magnetization (μB/f.u.): 0.00
Calculated density (g cm⁻³): 7.28
Formation energy (meV per atom): -167

a = 6.3430 Å, b = 4.5041 Å, c = 7.2568 Å
α = 90.00°, β = 106.51°, γ = 90.00°
Space group P2_1/m (No. 11)
Unique sites:
Li: 0.1201 0.2500 0.4913 (multiplicity 2)
Li: 0.3088 0.2500 0.1673 (multiplicity 2)
In: 0.0600 0.7500 0.1794 (multiplicity 2)
In: 0.4438 0.2500 0.8300 (multiplicity 2)
Ir: 0.1938 0.7500 0.8391 (multiplicity 2)